[1]
The following is a DFT calculation (PBE) of crystalline AlB2F at its relaxed geometry.

Properties
energy above the lowest structure with this stoichiometry = 0 meV/atom
formation energy without anion corrections = 64 meV/atom

a = 3.1555 Å, b = 3.1555 Å, c = 20.6555 Å
α = 90.00°, β = 90.00°, γ = 90.00°
Closest atoms and distances in Å follow each position.
Space group I4_1/amd (No. 141, origin choice 2)
Unique sites:
1 Al 0.0000 0.2500 0.3750 (multiplicity 4)  4 F 2.23
2 B 0.0000 0.0000 0.0000 (multiplicity 8)  2 B 1.58
3 F 0.0000 0.2500 0.8750 (multiplicity 4)  4 Al 2.23

[2]
The following is a DFT calculation (PBE) of crystalline NaEr4TmSe8 at its relaxed geometry.

Properties
formation energy without anion corrections = -1760 meV/atom

a = 8.3922 Å, b = 8.3922 Å, c = 20.5133 Å
α = 90.00°, β = 90.00°, γ = 120.00°
Closest atoms and distances in Å follow each position.
Space group R3m (No. 160, hexagonal axes)
Unique sites:
1 Na 0.0000 0.0000 0.0000 (multiplicity 3)  4 Se 2.77
2 Er 0.0000 0.0000 0.2495 (multiplicity 3)  4 Se 2.73-2.74
3 Er 0.1734 0.3469 0.4563 (multiplicity 9)  6 Se 2.79-2.94
4 Tm 0.0000 0.0000 0.6297 (multiplicity 3)  6 Se 2.78-2.93
5 Se 0.0000 0.0000 0.3827 (multiplicity 3)  4 Er 2.73-2.94
6 Se 0.0000 0.0000 0.8648 (multiplicity 3)  1 Na 2.77, 3 Er 2.79
7 Se 0.0273 0.5136 0.3776 (multiplicity 9)  1 Na 2.77, 1 Tm 2.78, 2 Er 2.79
8 Se 0.1779 0.3558 0.2056 (multiplicity 9)  3 Er 2.74-2.94, 1 Tm 2.93

[3]
The following is a DFT calculation (PBE) of crystalline TlSbO2 at its relaxed geometry.

Properties
energy above the lowest structure with this stoichiometry = 271 meV/atom
formation energy without anion corrections = -798 meV/atom

a = 3.4716 Å, b = 3.4716 Å, c = 22.5532 Å
α = 90.00°, β = 90.00°, γ = 120.00°
Closest atoms and distances in Å follow each position.
Space group R-3m (No. 166, hexagonal axes)
Unique sites:
1 Tl 0.0000 0.0000 0.0000 (multiplicity 3)  2 O 2.65
2 Sb 0.0000 0.0000 0.5000 (multiplicity 3)  6 O 2.29
3 O 0.0000 0.0000 0.1176 (multiplicity 6)  3 Sb 2.29

[4]
The following is a DFT calculation (PBE) of crystalline Tb10Nd4Ho at its relaxed geometry.

Properties
ΔE_f = 750 meV per atom

a = 12.2582 Å, b = 12.2582 Å, c = 7.7632 Å
α = 90.00°, β = 90.00°, γ = 90.00°
Closest atoms and distances in Å follow each position.
Space group I4/m (No. 87)
Unique sites:
1 Tb 0.0000 0.5000 0.2500 (multiplicity 4)  4 Nd 3.37
2 Tb 0.0985 0.8016 0.2477 (multiplicity 16)  1 Ho 3.33, 3 Nd 3.36-3.37
3 Nd 0.1008 0.2988 0.5000 (multiplicity 8)  8 Tb 3.36-3.37
4 Ho 0.0000 0.0000 0.0000 (multiplicity 2)  8 Tb 3.33

[5]
The following is a DFT calculation (PBE) of crystalline SmTm4As5 at its relaxed geometry.

Properties
ΔE_f = -1504 meV per atom

a = 13.5721 Å, b = 4.0966 Å, c = 10.0318 Å
α = 90.00°, β = 119.50°, γ = 90.00°
Closest atoms and distances in Å follow each position.
Space group C2/m (No. 12)
Unique sites:
1 Sm 0.0000 0.0000 0.0000 (multiplicity 2)  6 As 2.94
2 Tm 0.0985 0.5000 0.3993 (multiplicity 4)  6 As 2.86-2.89
3 Tm 0.2008 0.0000 0.7975 (multiplicity 4)  6 As 2.87-2.90
4 As 0.0000 0.0000 0.5000 (multiplicity 2)  6 Tm 2.89
5 As 0.1037 0.5000 0.8973 (multiplicity 4)  4 Tm 2.87-2.90, 2 Sm 2.94
6 As 0.2022 0.0000 0.3054 (multiplicity 4)  5 Tm 2.86-2.89, 1 Sm 2.94

[6]
The following is a DFT calculation (PBE) of crystalline MoSeBr2 at its relaxed geometry.

Properties
energy above the lowest structure with this stoichiometry = 742 meV/atom
formation energy without anion corrections = 411 meV/atom

a = 3.0932 Å, b = 5.8632 Å, c = 11.1021 Å
α = 90.00°, β = 90.00°, γ = 90.00°
Closest atoms and distances in Å follow each position.
Space group Cmmm (No. 65)
Unique sites:
1 Mo 0.0000 0.0000 0.0000 (multiplicity 2)  4 Br 2.57
2 Se 0.0000 0.0000 0.5000 (multiplicity 2)  6 Se 3.09-3.31
3 Br 0.0000 0.5000 0.1844 (multiplicity 4)  2 Mo 2.57

[7]
The following is a DFT calculation (PBE) of crystalline TbMgScS4 at its relaxed geometry.

Properties
formation energy without anion corrections = -1823 meV/atom

a = 7.6776 Å, b = 7.8227 Å, c = 10.9618 Å
α = 90.00°, β = 90.00°, γ = 90.00°
Closest atoms and distances in Å follow each position.
Space group Imma (No. 74)
Unique sites:
1 Tb 0.0000 0.0000 0.0000 (multiplicity 4)  6 S 2.72-2.75
2 Mg 0.0000 0.2500 0.3744 (multiplicity 4)  4 S 2.47-2.52
3 Sc 0.2500 0.2500 0.7500 (multiplicity 4)  6 S 2.60-2.63
4 S 0.0000 0.0204 0.7499 (multiplicity 8)  1 Mg 2.52, 2 Sc 2.63, 1 Tb 2.75
5 S 0.2465 0.2500 0.9871 (multiplicity 8)  1 Mg 2.47, 1 Sc 2.60, 2 Tb 2.72

[8]
The following is a DFT calculation (PBE) of crystalline FeBMo at its relaxed geometry.

Properties
ΔE_f = -354 meV per atom

a = 10.1935 Å, b = 3.1027 Å, c = 5.9676 Å
α = 90.00°, β = 90.00°, γ = 90.00°
Closest atoms and distances in Å follow each position.
Space group Pmma (No. 51)
Unique sites:
1 Fe 0.1229 0.0000 0.0671 (multiplicity 4)  3 B 2.14-2.31
2 Fe 0.2500 0.0000 0.7027 (multiplicity 2)  4 B 2.14-2.24
3 B 0.0878 0.0000 0.4494 (multiplicity 4)  1 B 1.89
4 B 0.2500 0.5000 0.9492 (multiplicity 2)  6 Fe 2.14
5 Mo 0.0447 0.5000 0.7306 (multiplicity 4)  5 B 2.32-2.47
6 Mo 0.2500 0.5000 0.3546 (multiplicity 2)  5 B 2.34-2.42, 2 Fe 2.59

no.,total moment (μB per formula unit),E (eV/atom)
1,0.00,-4.678
2,0.00,-5.469
3,0.00,-4.899
4,0.00,-3.914
5,0.00,-6.090
6,1.12,-4.004
7,0.00,-5.976
8,1.24,-9.011